# Pr8AlSn6

A relaxed Pr8AlSn6 crystal (PBE, Alexandria via LeMat-Bulk).

ΔE_f   -0.541 eV per atom
Space-group type   No. 148
Calculated density   6.105 g cm⁻³
Electronic total energy   -74.11 eV per cell

a = 9.5020 Å, b = 9.5020 Å, c = 8.5001 Å
α = 56.02°, β = 56.02°, γ = 60.00°
Fractional positions:
Pr 0.6292 0.1843 0.2912
Pr 0.8157 0.1047 0.7088
Pr 0.1047 0.3708 0.7088
Pr 0.6672 0.6672 0.9983
Pr 0.3328 0.3328 0.0017
Pr 0.8953 0.6292 0.2912
Pr 0.1843 0.8953 0.2912
Pr 0.3708 0.8157 0.7088
Al 0.0000 0.0000 0.0000
Sn 0.4402 0.0665 0.7868
Sn 0.9335 0.2935 0.2132
Sn 0.2935 0.5598 0.2132
Sn 0.7065 0.4402 0.7868
Sn 0.0665 0.7065 0.7868
Sn 0.5598 0.9335 0.2132